1.
Computed, not measured: an optimized crystal structure of CuNiAg2 at the PBE level of DFT.

Calculated values
energy above the most stable polymorph in this dataset	0.000	eV per atom
energy relative to the elements	130	meV/atom
DFT total energy	-15.1	eV per cell

a = 2.874 Å, b = 2.874 Å, c = 7.083 Å
α = 90.00°, β = 90.00°, γ = 90.00°
Atoms (fractional coordinates):
Cu 0.000 0.000 0.000
Ni 0.500 0.500 0.193
Ag 0.000 0.000 0.444
Ag 0.500 0.500 0.745


2.
Computed, not measured: an optimized crystal structure of ZrSb3P at the PBE level of DFT.

Calculated values
energy above the most stable polymorph in this dataset	0.217	eV per atom
DFT total energy	-22.7	eV per cell
energy relative to the elements, uncorrected	3.67	eV/f.u.

a = 5.524 Å, b = 5.524 Å, c = 5.524 Å
α = 90.00°, β = 90.00°, γ = 90.00°
Atoms (fractional coordinates):
Zr 0.000 0.000 0.000
Sb 0.000 0.000 0.500
Sb 0.000 0.500 0.000
Sb 0.500 0.000 0.000
P 0.500 0.500 0.500